# Ho2Zn2Co (GGA-PBE, optimized geometry)
data_Ho2Zn2Co
_chemical_formula_sum 'Ho8 Zn8 Co4'
_cell_length_a 10.451
_cell_length_b 3.743
_cell_length_c 10.898
_cell_angle_alpha 90.00
_cell_angle_beta 110.82
_cell_angle_gamma 90.00
_space_group_name_H-M_alt 'C 1 2/m 1'
_space_group_IT_number 12
_space_group_name_Hall '-C 2y'
loop_
_atom_site_label
_atom_site_type_symbol
_atom_site_fract_x
_atom_site_fract_y
_atom_site_fract_z
Ho1 Ho 0.002 0.000 0.337
Ho2 Ho 0.196 0.000 0.128
Zn1 Zn 0.027 0.500 0.891
Zn2 Zn 0.178 0.500 0.551
Co1 Co 0.192 0.500 0.312
# * calculated volume: 398.5 Å³ per cell
# * VASP energy: -20.35 eV per formula unit